P.
Density functional theory data (PBE) for a geometry-optimized LiLa2AgH structure.

Output
**Total magnetization**: 0.5 μB/cell
**Crystal system**: tetragonal

a b c (Å): 5.2395 5.2395 4.0577
angles (deg): 90.00 90.00 90.00
Fractional positions:
La  0.0000  0.5000  0.0000
Li  0.0000  0.0000  0.5000
Ag  0.5000  0.5000  0.5000
H  0.0000  0.0000  0.0000
La  0.5000  0.0000  0.0000

=====

Q.
Density functional theory data (PBE) for a geometry-optimized LiLa2AgH structure.

Output
**Total magnetization**: 0.0 μB/cell
**Crystal system**: tetragonal

a b c (Å): 5.0799 5.0799 4.3893
angles (deg): 90.00 90.00 90.00
Fractional positions:
Li  0.5000  0.5000  0.5000
La  0.5000  0.0000  0.0000
Ag  0.0000  0.0000  0.5000
H  0.0000  0.0000  0.0000
La  0.0000  0.5000  0.0000

=====

Pick P: it beats the second-best structure by 96 meV per atom.

=====

P.
Density functional theory data (PBE) for a geometry-optimized La2AgHPd structure.

Output
**Total magnetization**: 0.0 μB/cell
**Crystal system**: tetragonal

a b c (Å): 5.3107 5.3107 3.8336
angles (deg): 90.00 90.00 90.00
Fractional positions:
H  0.0000  0.0000  0.0000
Ag  0.5000  0.5000  0.5000
La  0.5000  0.0000  0.0000
Pd  0.0000  0.0000  0.5000
La  0.0000  0.5000  0.0000

=====

Q.
Density functional theory data (PBE) for a geometry-optimized La2AgHPd structure.

Output
**Total magnetization**: 0.0 μB/cell
**Crystal system**: tetragonal

a b c (Å): 5.5176 5.1481 5.5176
angles (deg): 90.00 90.00 90.00
Fractional positions:
Ag  0.0000  0.5000  0.0000
Pd  0.0000  0.0000  0.0000
H  0.5000  0.5000  0.5000
La  0.0000  0.0000  0.5000
La  0.5000  0.0000  0.0000

=====

R.
Density functional theory data (PBE) for a geometry-optimized La2AgHPd structure.

Output
**Total magnetization**: 0.0 μB/cell
**Crystal system**: tetragonal

a b c (Å): 5.1132 5.1132 4.0798
angles (deg): 90.00 90.00 90.00
Fractional positions:
La  0.0000  0.5000  0.0000
H  0.0000  0.0000  0.0000
Ag  0.0000  0.0000  0.5000
Pd  0.5000  0.5000  0.5000
La  0.5000  0.0000  0.0000

=====

Pick P: it beats the second-best structure by 42 meV per atom.